[1]
The following is a PBE calculation of a geometry-optimized DyZnPd6 structure, from the Alexandria database.

Cell: 5.351 5.351 5.351 Å, 88.87 88.87 88.87°
Sites, in units of the cell vectors:
1 Pd 0.541 0.172 0.172
2 Pd 0.459 0.828 0.828
3 Zn 0.500 0.500 0.500
4 Pd 0.828 0.828 0.459
5 Pd 0.172 0.172 0.541
6 Pd 0.828 0.459 0.828
7 Dy 0.000 0.000 0.000
8 Pd 0.172 0.541 0.172

symmetry	R-3m (166)
V	19.1	A^3/atom
ΔE_f	-1.0	eV per formula unit
DOS(E_F)	3.8	states/eV per cell
total moment	0.0	Bohr magnetons per cell

=====

[2]
The following is a PBE calculation of a geometry-optimized DyZn8Pd2 structure, from the Alexandria database.

Cell: 6.418 6.418 5.150 Å, 90.00 90.00 90.00°
Sites, in units of the cell vectors:
1 Zn 0.207 0.793 0.749
2 Zn 0.793 0.207 0.749
3 Pd 0.000 0.500 0.000
4 Zn 0.793 0.793 0.251
5 Pd 0.500 0.000 0.000
6 Zn 0.793 0.207 0.251
7 Dy 0.500 0.500 0.500
8 Zn 0.207 0.793 0.251
9 Zn 0.207 0.207 0.251
10 Zn 0.207 0.207 0.749
11 Zn 0.793 0.793 0.749

symmetry	P4/mmm (123)
V	19.3	A^3/atom
ΔE_f	-0.6	eV per formula unit
DOS(E_F)	4.8	states/eV per cell
total moment	0.0	Bohr magnetons per cell

=====

- total moment of number 2 (DyZn8Pd2)?
  0.0 Bohr magnetons per cell